Record 1
Ni2CI (GGA-PBE, relaxed); density of states at the Fermi level = 0.73 states/eV per atom; M_tot = 0.000 μB/atom; E_tot = -84.81 eV/cell
1.0
9.6969 0.0000 -0.0008
0.0000 4.3619 0.0000
-0.8353 0.0000 6.4187
Ni C I
8 4 4
direct
0.5669 0.5000 0.6015
0.5669 0.0000 0.1015
0.3523 0.0000 0.2958
0.4996 0.0000 0.7180
0.3523 0.5000 0.7958
0.7224 0.5000 0.0466
0.7224 0.0000 0.5466
0.4996 0.5000 0.2180
0.5386 0.1647 0.4100
0.5386 0.8353 0.4100
0.5386 0.6647 0.9100
0.5386 0.3353 0.9100
0.2147 0.0000 0.6251
0.8649 0.5000 0.4229
0.8649 0.0000 0.9229
0.2147 0.5000 0.1251

=====

Record 2
AlRe2W (GGA-PBE, relaxed); density of states at the Fermi level = 0.87 states/eV per atom; M_tot = 0.000 μB/atom; calculated formation energy = 96.1 meV per atom; E_tot = -41.21 eV/cell
1.0
-1.1161 -2.5801 1.2422
2.1914 -2.4488 -3.1174
3.4462 -0.2354 2.6074
W Re Al
1 2 1
direct
0.5000 0.0000 0.5000
0.5000 0.5000 0.0000
0.0000 0.0000 0.0000
0.0000 0.5000 0.5000

=====

Record 3
Hf2MnH (GGA-PBE, relaxed); density of states at the Fermi level = 0.92 states/eV per atom; M_tot = 0.482 μB/atom; E_tot = -64.26 eV/cell
1.0
6.1347 0.0000 0.0000
0.0000 6.1347 0.0000
3.0674 3.0674 3.1910
Mn Hf H
2 4 2
direct
0.7500 0.2500 0.5000
0.0000 0.0000 0.0000
0.3750 0.4483 0.7500
0.1983 0.6250 0.2500
0.8750 0.8017 0.7500
0.5517 0.1250 0.2500
0.2500 0.7500 0.5000
0.5000 0.5000 0.0000

=====

Record 4
ScPAu (GGA-PBE, relaxed); density of states at the Fermi level = 0.71 states/eV per atom; M_tot = 0.000 μB/atom; calculated formation energy = -566.3 meV per atom; E_tot = -33.44 eV/cell
1.0
1.9998 -3.4638 0.0000
1.9998 3.4638 0.0000
0.0000 0.0000 8.6040
Sc Au P
2 2 2
direct
0.6667 0.3333 0.6573
0.3333 0.6667 0.1573
0.6667 0.3333 0.3348
0.3333 0.6667 0.8348
0.0000 0.0000 0.9828
0.0000 0.0000 0.4828

=====

Record 5
Th2HgPt9 (GGA-PBE, relaxed); density of states at the Fermi level = 0.72 states/eV per atom; M_tot = 0.000 μB/atom; calculated formation energy = -645.1 meV per atom; E_tot = -77.25 eV/cell
1.0
5.4651 0.0000 0.0000
2.7326 4.7329 0.0000
2.7326 1.5776 8.9414
Hg Pt Th
1 9 2
direct
0.0000 0.0000 0.0000
0.5000 0.5000 0.5000
0.4117 0.9199 0.2567
0.4117 0.4117 0.2567
0.3324 0.3324 0.0028
0.5883 0.0801 0.7433
0.0801 0.5883 0.7433
0.5883 0.5883 0.7433
0.9199 0.4117 0.2567
0.6676 0.6676 0.9972
0.8660 0.8660 0.4020
0.1340 0.1340 0.5980

=====

- Look up the E_tot of the second one.
  -41.21 eV/cell

=====

- density of states at the Fermi level of number 3 (Hf2MnH)?
  0.92 states/eV per atom